# DyGaPd2

An optimized crystal structure of DyGaPd2 (PBE, the Alexandria database).

Calculated values
E_form ... -68.30 kJ/mol of atoms
Fermi-level density of states ... 0.556 states/eV/atom
VASP energy ... -5.212 eV per atom

Lattice parameters (Å, degrees): 4.448 4.448 3.721 90.00 90.00 90.00
Sites, in units of the cell vectors:
Dy 0.000 0.000 0.000
Ga 0.500 0.500 0.000
Pd 0.000 0.500 0.500
Pd 0.500 0.000 0.500

=====

# DyGa4Pd

An optimized crystal structure of DyGa4Pd (PBE, the Alexandria database).

Calculated values
E_form ... -39.36 kJ/mol of atoms
Fermi-level density of states ... 0.645 states/eV/atom
VASP energy ... -4.058 eV per atom

Lattice parameters (Å, degrees): 5.666 5.666 5.666 136.77 109.66 86.27
Sites, in units of the cell vectors:
Dy 0.000 0.000 0.000
Ga 0.137 0.341 0.796
Ga 0.455 0.659 0.796
Ga 0.545 0.341 0.204
Ga 0.863 0.659 0.204
Pd 0.500 0.000 0.500

=====

# Dy3Ga8Pd3

An optimized crystal structure of Dy3Ga8Pd3 (PBE, the Alexandria database).

Calculated values
E_form ... -67.20 kJ/mol of atoms
Fermi-level density of states ... 0.341 states/eV/atom
Energy above the most stable polymorph in this dataset ... 16 meV/atom
VASP energy ... -4.525 eV per atom

Lattice parameters (Å, degrees): 8.118 8.118 9.471 124.71 124.71 30.88
Sites, in units of the cell vectors:
Dy 0.000 0.000 0.000
Dy 0.294 0.294 0.293
Dy 0.706 0.706 0.707
Ga 0.142 0.142 0.429
Ga 0.148 0.148 0.866
Ga 0.346 0.346 0.719
Ga 0.498 0.498 0.322
Ga 0.502 0.502 0.678
Ga 0.654 0.654 0.281
Ga 0.852 0.852 0.134
Ga 0.858 0.858 0.571
Pd 0.000 0.000 0.500
Pd 0.351 0.351 0.990
Pd 0.649 0.649 0.010